Record 1
Below is a relaxed structure of YMgZrMn2, with properties calculated at the PBEsol level.

```
data_YMgZrMn2
_cell_length_a 4.660
_cell_length_b 4.660
_cell_length_c 5.278
_cell_angle_alpha 90.00
_cell_angle_beta 90.00
_cell_angle_gamma 90.00
_symmetry_space_group_name_H-M 'P 4/m m m'
_symmetry_Int_Tables_number 123
_symmetry_space_group_name_Hall '-P 4 2'
loop_
_atom_site_label
_atom_site_type_symbol
_atom_site_fract_x
_atom_site_fract_y
_atom_site_fract_z
Y1 Y 0.000 0.000 0.000
Mg1 Mg 0.500 0.500 0.000
Zr1 Zr 0.500 0.500 0.500
Mn1 Mn 0.000 0.500 0.500
```

Calculated values
Its density is 4.55 g/cm³. As for the magnetic moment: 5.58 μB per formula unit. The total energy is -6.541 eV per atom.



Record 2
Below is a relaxed structure of FeHg2Ir, with properties calculated at the PBEsol level.

```
data_FeHg2Ir
_cell_length_a 2.895
_cell_length_b 2.895
_cell_length_c 7.934
_cell_angle_alpha 90.00
_cell_angle_beta 90.00
_cell_angle_gamma 90.00
_symmetry_space_group_name_H-M 'P 4 m m'
_symmetry_Int_Tables_number 99
loop_
_symmetry_equiv_pos_as_xyz
'x,y,z'
'-y,x,z'
'-x,-y,z'
'y,-x,z'
'-x,y,z'
'y,x,z'
'x,-y,z'
'-y,-x,z'
loop_
_atom_site_label
_atom_site_type_symbol
_atom_site_fract_x
_atom_site_fract_y
_atom_site_fract_z
Fe1 Fe 0.000 0.000 0.000
Hg1 Hg 0.000 0.000 0.557
Hg2 Hg 0.500 0.500 0.242
Ir1 Ir 0.500 0.500 0.821
```

Calculated values
Its density is 16.21 g/cm³. As for the magnetic moment: 2.65 μB per formula unit. The total energy is -4.730 eV per atom.



Record 3
Below is a relaxed structure of P2BrCl, with properties calculated at the PBEsol level.

```
data_P2BrCl
_cell_length_a 6.020
_cell_length_b 7.735
_cell_length_c 3.068
_cell_angle_alpha 90.00
_cell_angle_beta 90.00
_cell_angle_gamma 90.00
_symmetry_space_group_name_H-M 'C m m m'
_symmetry_Int_Tables_number 65
_symmetry_space_group_name_Hall '-C 2 2'
loop_
_atom_site_label
_atom_site_type_symbol
_atom_site_fract_x
_atom_site_fract_y
_atom_site_fract_z
P1 P 0.250 0.250 0.000
Br1 Br 0.000 0.000 0.500
Cl1 Cl 0.000 0.500 0.500
```

Calculated values
Its density is 4.12 g/cm³. As for the uncorrected formation energy: 0.891 eV/atom. As for the magnetic moment: 0.00 μB per formula unit. The total energy is -2.974 eV per atom.



Record 4
Below is a relaxed structure of LaZn2Cu, with properties calculated at the PBEsol level.

```
data_LaZn2Cu
_cell_length_a 4.1889
_cell_length_b 4.1889
_cell_length_c 15.4189
_cell_angle_alpha 90.00
_cell_angle_beta 90.00
_cell_angle_gamma 120.00
_symmetry_space_group_name_H-M 'R -3 m'
_symmetry_Int_Tables_number 166
_symmetry_space_group_name_Hall '-R 3 2"'
loop_
_atom_site_label
_atom_site_type_symbol
_atom_site_fract_x
_atom_site_fract_y
_atom_site_fract_z
La1 La 0.0000 0.0000 0.0000
Zn1 Zn 0.0000 0.0000 0.2030
Cu1 Cu 0.0000 0.0000 0.5000
```

Calculated values
Its density is 7.09 g/cm³. As for the magnetic moment: 0.00 μB per formula unit. The total energy is -3.427 eV per atom.



Record 5
Below is a relaxed structure of Li3GaRe, with properties calculated at the PBEsol level.

```
data_Li3GaRe
_cell_length_a 4.749
_cell_length_b 4.749
_cell_length_c 4.749
_cell_angle_alpha 90.00
_cell_angle_beta 90.00
_cell_angle_gamma 90.00
_symmetry_space_group_name_H-M 'P m -3 m'
_symmetry_Int_Tables_number 221
_symmetry_space_group_name_Hall '-P 4 2 3'
loop_
_atom_site_label
_atom_site_type_symbol
_atom_site_fract_x
_atom_site_fract_y
_atom_site_fract_z
Li1 Li 0.000 0.000 0.500
Ga1 Ga 0.500 0.500 0.500
Re1 Re 0.000 0.000 0.000
```

Calculated values
Its density is 4.29 g/cm³. As for the magnetic moment: 2.32 μB per formula unit. The total energy is -3.065 eV per atom.



Record 6
Below is a relaxed structure of RbTl2SeN, with properties calculated at the PBEsol level.

```
data_RbTl2SeN
_cell_length_a 6.139
_cell_length_b 6.139
_cell_length_c 4.329
_cell_angle_alpha 90.00
_cell_angle_beta 90.00
_cell_angle_gamma 90.00
_symmetry_space_group_name_H-M 'P 4/m m m'
_symmetry_Int_Tables_number 123
_symmetry_space_group_name_Hall '-P 4 2'
loop_
_atom_site_label
_atom_site_type_symbol
_atom_site_fract_x
_atom_site_fract_y
_atom_site_fract_z
Rb1 Rb 0.000 0.000 0.000
Tl1 Tl 0.000 0.500 0.000
Se1 Se 0.500 0.500 0.500
N1 N 0.000 0.000 0.500
```

Calculated values
Its density is 5.98 g/cm³. As for the uncorrected formation energy: 1.248 eV/atom. As for the magnetic moment: 0.82 μB per formula unit. The total energy is -2.484 eV per atom.